# 1
DFT (GGA+U) results for a relaxed structure of YFe2O4.

a b c (Å): 6.4577 6.4577 6.4577
angles (deg): 126.99 126.99 78.27
Positions (direct):
Y (0.7500, 0.2500, 0.5000)
Y (0.0000, 0.0000, 0.0000)
Fe (0.8750, 0.6250, 0.2500)
Fe (0.3750, 0.6250, 0.7500)
Fe (0.3750, 0.6250, 0.2500)
Fe (0.3750, 0.1250, 0.7500)
O (0.3445, 0.9946, 0.9476)
O (0.0471, 0.3969, 0.0524)
O (0.4055, 0.2554, 0.5524)
O (0.7029, 0.8531, 0.4476)
O (0.7446, 0.2971, 0.1502)
O (0.1469, 0.5945, 0.8498)
O (0.6031, 0.6555, 0.6502)
O (0.0054, 0.9529, 0.3498)

Summary:
Space group = No. 88
N(E_F) = 1.88 states/eV/f.u.
ΔE to the lowest computed polymorph = 0.86 eV/f.u.

---

# 2
DFT (GGA+U) results for a relaxed structure of YFe3O.

a b c (Å): 4.4015 4.4015 4.4015
angles (deg): 90.00 90.00 90.00
Positions (direct):
Y (0.5000, 0.5000, 0.5000)
Fe (0.0000, 0.5000, 0.0000)
Fe (0.0000, 0.0000, 0.5000)
Fe (0.5000, 0.0000, 0.0000)
O (0.0000, 0.0000, 0.0000)

Summary:
Space group = No. 221
N(E_F) = 2.79 states/eV/f.u.
ΔE to the lowest computed polymorph = 0.00 eV/f.u.

---

# 3
DFT (GGA+U) results for a relaxed structure of Y2FeO.

a b c (Å): 3.3752 3.3752 8.9210
angles (deg): 79.10 79.10 60.00
Positions (direct):
Y (0.1136, 0.1136, 0.6592)
Y (0.8864, 0.8864, 0.3408)
Fe (0.0000, 0.0000, 0.0000)
O (0.5000, 0.5000, 0.5000)

Summary:
Space group = No. 166
N(E_F) = 1.99 states/eV/f.u.

---

# 4
DFT (GGA+U) results for a relaxed structure of Y2FeO.

a b c (Å): 6.7442 6.7442 6.3111
angles (deg): 57.70 57.70 90.00
Positions (direct):
Y (0.5221, 0.1250, 0.2500)
Y (0.2279, 0.6250, 0.2500)
Y (0.3750, 0.4779, 0.7500)
Y (0.8750, 0.7721, 0.7500)
Fe (0.0000, 0.0000, 0.0000)
Fe (0.7500, 0.2500, 0.5000)
O (0.5000, 0.5000, 0.0000)
O (0.2500, 0.7500, 0.5000)

Summary:
Space group = No. 122
N(E_F) = 4.07 states/eV/f.u.

---

# 5
DFT (GGA+U) results for a relaxed structure of Y4FeO7.

a b c (Å): 3.2815 5.6144 9.4807
angles (deg): 105.67 90.00 106.99
Positions (direct):
Y (0.6864, 0.3729, 0.7841)
Y (0.3071, 0.6143, 0.1958)
Y (0.9952, 0.9904, 0.9915)
Y (0.1132, 0.2265, 0.4293)
Fe (0.8919, 0.7837, 0.5815)
O (0.7470, 0.4939, 0.3654)
O (0.2639, 0.5278, 0.6465)
O (0.3395, 0.6790, 0.9498)
O (0.6516, 0.3033, 0.0536)
O (0.0392, 0.0784, 0.7761)
O (0.9538, 0.9075, 0.2135)
O (0.5112, 0.0224, 0.5130)

Summary:
Space group = No. 8
N(E_F) = 0.00 states/eV/f.u.

---

# 6
DFT (GGA+U) results for a relaxed structure of YFeO2.

a b c (Å): 4.0029 4.0029 4.0029
angles (deg): 60.00 60.00 60.00
Positions (direct):
Y (0.5000, 0.5000, 0.5000)
Fe (0.0000, 0.0000, 0.0000)
O (0.2500, 0.2500, 0.2500)
O (0.7500, 0.7500, 0.7500)

Summary:
Space group = No. 225
N(E_F) = 0.00 states/eV/f.u.
ΔE to the lowest computed polymorph = 0.97 eV/f.u.

---

# 7
DFT (GGA+U) results for a relaxed structure of YFe2O4.

a b c (Å): 6.3296 6.3296 6.3296
angles (deg): 121.24 117.70 90.94
Positions (direct):
Y (0.0000, 0.5000, 0.5000)
Y (0.5000, 0.5000, 0.0000)
Fe (0.1243, 0.8743, 0.2500)
Fe (0.8757, 0.1257, 0.7500)
Fe (0.5000, 0.5000, 0.5000)
Fe (0.5000, 0.0000, 0.0000)
O (0.2467, 0.2438, 0.0029)
O (0.7409, 0.2438, 0.4971)
O (0.7457, 0.2451, 0.9995)
O (0.7533, 0.7562, 0.9971)
O (0.2543, 0.2538, 0.4995)
O (0.2591, 0.7562, 0.5029)
O (0.7457, 0.7462, 0.5005)
O (0.2543, 0.7549, 0.0005)

Summary:
Space group = No. 74
N(E_F) = 0.00 states/eV/f.u.
ΔE to the lowest computed polymorph = 0.59 eV/f.u.

---

# 8
DFT (GGA+U) results for a relaxed structure of Y2Fe2O7.

a b c (Å): 7.0859 7.0859 7.0859
angles (deg): 60.00 60.00 60.00
Positions (direct):
Y (0.5000, 0.0000, 0.5000)
Y (0.0000, 0.5000, 0.5000)
Y (0.5000, 0.5000, 0.0000)
Y (0.5000, 0.5000, 0.5000)
Fe (0.0000, 0.5000, 0.0000)
Fe (0.5000, 0.0000, 0.0000)
Fe (0.0000, 0.0000, 0.5000)
Fe (0.0000, 0.0000, 0.0000)
O (0.6250, 0.6250, 0.6250)
O (0.3750, 0.3750, 0.3750)
O (0.3308, 0.9192, 0.9192)
O (0.0808, 0.6692, 0.6692)
O (0.9192, 0.3308, 0.9192)
O (0.9192, 0.9192, 0.3308)
O (0.3308, 0.3308, 0.9192)
O (0.3308, 0.9192, 0.3308)
O (0.9192, 0.3308, 0.3308)
O (0.6692, 0.6692, 0.0808)
O (0.0808, 0.0808, 0.6692)
O (0.6692, 0.0808, 0.0808)
O (0.6692, 0.0808, 0.6692)
O (0.0808, 0.6692, 0.0808)

Summary:
Space group = No. 227

---

# 9
DFT (GGA+U) results for a relaxed structure of Y3Fe5O12.

a b c (Å): 10.7662 10.7662 10.7662
angles (deg): 109.47 109.47 109.47
Positions (direct):
Y (0.3750, 0.1250, 0.2500)
Y (0.2500, 0.8750, 0.6250)
Y (0.6250, 0.8750, 0.7500)
Y (0.1250, 0.3750, 0.7500)
Y (0.7500, 0.6250, 0.8750)
Y (0.8750, 0.6250, 0.2500)
Y (0.8750, 0.7500, 0.6250)
Y (0.3750, 0.7500, 0.1250)
Y (0.7500, 0.1250, 0.3750)
Y (0.1250, 0.2500, 0.3750)
Y (0.6250, 0.2500, 0.8750)
Y (0.2500, 0.3750, 0.1250)
Fe (0.2500, 0.1250, 0.8750)
Fe (0.6250, 0.3750, 0.2500)
Fe (0.5000, 0.5000, 0.0000)
Fe (0.1250, 0.8750, 0.2500)
Fe (0.0000, 0.0000, 0.5000)
Fe (0.3750, 0.2500, 0.6250)
Fe (0.0000, 0.5000, 0.5000)
Fe (0.6250, 0.7500, 0.3750)
Fe (0.7500, 0.3750, 0.6250)
Fe (0.1250, 0.7500, 0.8750)
Fe (0.5000, 0.0000, 0.0000)
Fe (0.8750, 0.2500, 0.1250)
Fe (0.0000, 0.0000, 0.0000)
Fe (0.8750, 0.1250, 0.7500)
Fe (0.2500, 0.6250, 0.3750)
Fe (0.0000, 0.5000, 0.0000)
Fe (0.7500, 0.8750, 0.1250)
Fe (0.3750, 0.6250, 0.7500)
Fe (0.5000, 0.5000, 0.5000)
Fe (0.5000, 0.0000, 0.5000)
O (0.4188, 0.0930, 0.6226)
O (0.5930, 0.1742, 0.4704)
O (0.0296, 0.3258, 0.9070)
O (0.1742, 0.4704, 0.5930)
O (0.6226, 0.7038, 0.5296)
O (0.8774, 0.4070, 0.0812)
O (0.7962, 0.8774, 0.9704)
O (0.1226, 0.5930, 0.9188)
O (0.9070, 0.3774, 0.5812)
O (0.0930, 0.9704, 0.6742)
O (0.0296, 0.2038, 0.1226)
O (0.6742, 0.0930, 0.9704)
O (0.3774, 0.5812, 0.9070)
O (0.0812, 0.7038, 0.6742)
O (0.6226, 0.4188, 0.0930)
O (0.5296, 0.4070, 0.8258)
O (0.7962, 0.4188, 0.8258)
O (0.6742, 0.0812, 0.7038)
O (0.7038, 0.5296, 0.6226)
O (0.9188, 0.2962, 0.3258)
O (0.9704, 0.6742, 0.0930)
O (0.5930, 0.9188, 0.1226)
O (0.4070, 0.0812, 0.8774)
O (0.8258, 0.5296, 0.4070)
O (0.9704, 0.7962, 0.8774)
O (0.4704, 0.3774, 0.2962)
O (0.3258, 0.9188, 0.2962)
O (0.8774, 0.9704, 0.7962)
O (0.2038, 0.5812, 0.1742)
O (0.3258, 0.9070, 0.0296)
O (0.1742, 0.2038, 0.5812)
O (0.9070, 0.0296, 0.3258)
O (0.4070, 0.8258, 0.5296)
O (0.2962, 0.4704, 0.3774)
O (0.2038, 0.1226, 0.0296)
O (0.1226, 0.0296, 0.2038)
O (0.0930, 0.6226, 0.4188)
O (0.4188, 0.8258, 0.7962)
O (0.5812, 0.1742, 0.2038)
O (0.4704, 0.5930, 0.1742)
O (0.3774, 0.2962, 0.4704)
O (0.0812, 0.8774, 0.4070)
O (0.5812, 0.9070, 0.3774)
O (0.2962, 0.3258, 0.9188)
O (0.8258, 0.7962, 0.4188)
O (0.7038, 0.6742, 0.0812)
O (0.5296, 0.6226, 0.7038)
O (0.9188, 0.1226, 0.5930)

Summary:
Space group = No. 230
N(E_F) = 5.79 states/eV/f.u.

---

# 10
DFT (GGA+U) results for a relaxed structure of Y6Fe16O.

a b c (Å): 8.1562 8.1562 8.1562
angles (deg): 109.47 109.47 109.47
Positions (direct):
Y (0.2618, 0.0000, 0.2618)
Y (0.2618, 0.2618, 0.0000)
Y (0.7382, 0.7382, 0.0000)
Y (0.0000, 0.7382, 0.7382)
Y (0.0000, 0.2618, 0.2618)
Y (0.7382, 0.0000, 0.7382)
Fe (0.5000, 0.5000, 0.5000)
Fe (0.0000, 0.5000, 0.0000)
Fe (0.0000, 0.0000, 0.5000)
Fe (0.5000, 0.0000, 0.0000)
Fe (0.6573, 0.3145, 0.6573)
Fe (0.3427, 0.6573, 0.0000)
Fe (0.6573, 0.6573, 0.3145)
Fe (0.3145, 0.6573, 0.6573)
Fe (0.0000, 0.6573, 0.3427)
Fe (0.3427, 0.0000, 0.6573)
Fe (0.6573, 0.0000, 0.3427)
Fe (0.6855, 0.3427, 0.3427)
Fe (0.6573, 0.3427, 0.0000)
Fe (0.0000, 0.3427, 0.6573)
Fe (0.3427, 0.3427, 0.6855)
Fe (0.3427, 0.6855, 0.3427)
O (0.0000, 0.0000, 0.0000)

Summary:
Space group = No. 229
N(E_F) = 12.80 states/eV/f.u.

---

# 11
DFT (GGA+U) results for a relaxed structure of YFe2O4.

a b c (Å): 6.8541 5.9245 5.9180
angles (deg): 70.79 55.12 55.55
Positions (direct):
Y (0.7639, 0.4902, 0.4967)
Y (0.9862, 0.0098, 0.0033)
Fe (0.8750, 0.7500, 0.7500)
Fe (0.3750, 0.2500, 0.2500)
Fe (0.3750, 0.7500, 0.2500)
Fe (0.3750, 0.2500, 0.7500)
O (0.5964, 0.3345, 0.2986)
O (0.1536, 0.1655, 0.2014)
O (0.2151, 0.7120, 0.6741)
O (0.0598, 0.3431, 0.7083)
O (0.0624, 0.7078, 0.3343)
O (0.5349, 0.7880, 0.8259)
O (0.6902, 0.1569, 0.7917)
O (0.6876, 0.7922, 0.1657)

Summary:
Space group = No. 2
N(E_F) = 0.00 states/eV/f.u.
ΔE to the lowest computed polymorph = 1.06 eV/f.u.

---

# 12
DFT (GGA+U) results for a relaxed structure of YFeO2.

a b c (Å): 6.5248 6.5248 6.5248
angles (deg): 29.07 29.07 29.07
Positions (direct):
Y (0.0000, 0.0000, 0.0000)
Fe (0.5000, 0.5000, 0.5000)
O (0.8854, 0.8854, 0.8854)
O (0.1146, 0.1146, 0.1146)

Summary:
Space group = No. 166
N(E_F) = 1.65 states/eV/f.u.
ΔE to the lowest computed polymorph = 2.57 eV/f.u.

---

# 13
DFT (GGA+U) results for a relaxed structure of YFe2O4.

a b c (Å): 3.5436 8.5980 6.2150
angles (deg): 103.79 90.00 90.00
Positions (direct):
Y (0.5000, 0.0104, 0.5064)
Y (0.0000, 0.9896, 0.9936)
Fe (0.5000, 0.3584, 0.2876)
Fe (0.0000, 0.6416, 0.2124)
Fe (0.0000, 0.3626, 0.7950)
Fe (0.5000, 0.6374, 0.7050)
O (0.5000, 0.6139, 0.3510)
O (0.0000, 0.6159, 0.8966)
O (0.5000, 0.3841, 0.6035)
O (0.0000, 0.3861, 0.1490)
O (0.5000, 0.1241, 0.2023)
O (0.0000, 0.1241, 0.7146)
O (0.5000, 0.8759, 0.7854)
O (0.0000, 0.8759, 0.2977)

Summary:
Space group = No. 11
ΔE to the lowest computed polymorph = 0.00 eV/f.u.

---

# 14
DFT (GGA+U) results for a relaxed structure of YbFe2O4.

a b c (Å): 8.8058 8.8058 8.8058
angles (deg): 22.85 22.85 22.85
Positions (direct):
Yb (0.0000, 0.0000, 0.0000)
Fe (0.7850, 0.7850, 0.7850)
Fe (0.2150, 0.2150, 0.2150)
O (0.8693, 0.8693, 0.8693)
O (0.1307, 0.1307, 0.1307)
O (0.7116, 0.7116, 0.7116)
O (0.2884, 0.2884, 0.2884)

Summary:
Space group = No. 166
N(E_F) = 15.49 states/eV/f.u.

---

# 15
DFT (GGA+U) results for a relaxed structure of Zn2Fe3O8.

a b c (Å): 5.8198 5.8198 9.3462
angles (deg): 90.00 90.00 120.00
Positions (direct):
Zn (0.6667, 0.3333, 0.0314)
Zn (0.3333, 0.6667, 0.5314)
Zn (0.6667, 0.3333, 0.4203)
Zn (0.3333, 0.6667, 0.9203)
Fe (0.6717, 0.8358, 0.2446)
Fe (0.8358, 0.1642, 0.7446)
Fe (0.1642, 0.3283, 0.2446)
Fe (0.8358, 0.6717, 0.7446)
Fe (0.3283, 0.1642, 0.7446)
Fe (0.1642, 0.8358, 0.2446)
O (0.8414, 0.1586, 0.1440)
O (0.6829, 0.8414, 0.6440)
O (0.1586, 0.3171, 0.6440)
O (0.8414, 0.6829, 0.1440)
O (0.3171, 0.1586, 0.1440)
O (0.1586, 0.8414, 0.6440)
O (0.5184, 0.4816, 0.8627)
O (0.0368, 0.5184, 0.3627)
O (0.4816, 0.9632, 0.3627)
O (0.5184, 0.0368, 0.8627)
O (0.0000, 0.0000, 0.3517)
O (0.0000, 0.0000, 0.8517)
O (0.3333, 0.6667, 0.1361)
O (0.9632, 0.4816, 0.8627)
O (0.4816, 0.5184, 0.3627)
O (0.6667, 0.3333, 0.6361)

Summary:
Space group = No. 186

---

# 16
DFT (GGA+U) results for a relaxed structure of ZnFeO3.

a b c (Å): 5.4357 5.4357 5.4357
angles (deg): 54.82 54.82 54.82
Positions (direct):
Zn (0.6331, 0.6331, 0.6331)
Zn (0.3669, 0.3669, 0.3669)
Fe (0.8407, 0.8407, 0.8407)
Fe (0.1593, 0.1593, 0.1593)
O (0.9534, 0.5604, 0.2157)
O (0.4396, 0.7843, 0.0466)
O (0.7843, 0.0466, 0.4396)
O (0.2157, 0.9534, 0.5604)
O (0.5604, 0.2157, 0.9534)
O (0.0466, 0.4396, 0.7843)

Summary:
Space group = No. 148
N(E_F) = 2.01 states/eV/f.u.

---

# 17
DFT (GGA+U) results for a relaxed structure of Zn3Fe2O7.

a b c (Å): 9.4024 9.4024 5.2226
angles (deg): 90.00 90.00 147.25
Positions (direct):
Zn (0.7334, 0.7334, 0.7726)
Zn (0.2666, 0.2666, 0.2726)
Zn (0.5774, 0.9690, 0.6980)
Zn (0.4226, 0.0310, 0.1980)
Zn (0.9690, 0.5774, 0.6980)
Zn (0.0310, 0.4226, 0.1980)
Fe (0.3533, 0.1460, 0.7460)
Fe (0.6467, 0.8540, 0.2460)
Fe (0.8540, 0.6467, 0.2460)
Fe (0.1460, 0.3533, 0.7460)
O (0.9338, 0.3457, 0.8137)
O (0.0662, 0.6543, 0.3137)
O (0.6543, 0.0662, 0.3137)
O (0.3457, 0.9338, 0.8137)
O (0.2954, 0.5618, 0.4437)
O (0.7046, 0.4382, 0.9437)
O (0.4382, 0.7046, 0.9437)
O (0.5618, 0.2954, 0.4437)
O (0.8326, 0.9923, 0.5708)
O (0.1674, 0.0077, 0.0708)
O (0.3591, 0.3591, 0.6631)
O (0.6409, 0.6409, 0.1631)
O (0.9923, 0.8326, 0.5708)
O (0.0077, 0.1674, 0.0708)

Summary:
Space group = No. 36
N(E_F) = 5.84 states/eV/f.u.

---

no.,calculated total energy (eV per atom)
1,-7.428
2,-5.594
3,-6.692
4,-6.884
5,-8.595
6,-7.424
7,-7.466
8,-7.473
9,-7.369
10,-5.382
11,-7.400
12,-7.023
13,-7.551
14,-6.608
15,-5.564
16,-5.272
17,-5.319